Entry from Alexandria: a relaxed HfCuNiAg crystal (PBE-GGA).

Unit cell a=4.4206 b=4.4206 c=4.4206 alpha=60.00 beta=60.00 gamma=60.00
Last column: nearest neighbours and their distance in Å.
Fractional coordinates of all 4 atoms:
Hf: 0.0000 0.0000 0.0000  4 Cu 2.71, 4 Ni 2.71
Cu: 0.7500 0.7500 0.7500  4 Hf 2.71, 4 Ag 2.71
Ni: 0.2500 0.2500 0.2500  4 Hf 2.71, 4 Ag 2.71
Ag: 0.5000 0.5000 0.5000  4 Ni 2.71, 4 Cu 2.71

The total energy comes out at -5.78 eV per atom. The value obtained for the formation energy is -0.46 eV/f.u.